DFT (GGA-PBE) results for Ce2CdGeOs after structural relaxation.

Values from the calculation:
For the spin magnetization, the calculation gives 0.084 Bohr magnetons per cell. The calculated volume is 24.287 Å³ per atom. The final energy comes out at -0.4428 Ry per atom. The value obtained for the density of states at the Fermi level is 15.617 states/eV per cell. The formation energy comes out at -1.49 eV per formula unit.

Geometry as POSCAR:
```
Ce2CdGeOs
1.0
-1.782 3.307 -1.794
-6.794 -2.580 1.991
5.051 5.618 5.341
Ce Cd Ge Os
4 2 2 2
Cartesian
-3.149 4.274 3.761
-5.865 0.854 0.153
-0.376 2.071 1.777
2.340 5.492 5.385
-4.120 0.803 3.157
0.595 5.542 2.381
-0.110 3.626 4.379
-3.415 2.719 1.159
-1.836 3.702 6.233
-1.689 2.643 -0.695
```

DFT (GGA-PBE) results for Ce5CdGe2Pb after structural relaxation.

Values from the calculation:
For the spin magnetization, the calculation gives 12.231 Bohr magnetons per cell. The calculated volume is 27.696 Å³ per atom. The final energy comes out at -0.3847 Ry per atom. The value obtained for the density of states at the Fermi level is 48.355 states/eV per cell. The formation energy comes out at -3.58 eV per formula unit.

Geometry as POSCAR:
```
Ce5CdGe2Pb
1.0
7.866 0.000 0.000
0.000 7.866 0.000
-3.933 -3.933 8.057
Ce Cd Ge Pb
10 2 4 2
Cartesian
6.296 2.363 2.027
2.363 -1.570 6.030
-2.363 1.570 6.030
-1.570 -2.363 6.030
1.570 2.363 6.030
5.504 6.296 2.027
2.363 1.570 2.027
1.570 5.504 2.027
3.933 3.933 0.000
0.000 0.000 0.000
0.000 3.933 4.028
3.933 0.000 4.028
0.881 3.052 0.000
4.815 0.881 0.000
3.052 6.985 0.000
6.985 4.815 0.000
0.000 0.000 4.028
3.933 3.933 4.028
```

DFT (GGA-PBE) results for Ce3CdGe6Pd2 after structural relaxation.

Values from the calculation:
For the spin magnetization, the calculation gives 2.356 Bohr magnetons per cell. The calculated volume is 21.705 Å³ per atom. The final energy comes out at -0.3746 Ry per atom. The value obtained for the density of states at the Fermi level is 16.132 states/eV per cell. The formation energy comes out at -4.36 eV per formula unit.

Geometry as POSCAR:
```
Ce3CdGe6Pd2
1.0
-0.073 3.261 5.023
-4.928 -2.921 -1.746
2.424 -6.717 4.396
Ce Cd Ge Pd
3 1 6 2
Cartesian
-1.814 -5.006 3.223
-0.763 -1.371 4.449
0.000 0.000 0.000
1.212 -3.358 2.198
-3.389 -2.144 2.882
-1.233 -2.291 1.469
-3.357 -3.550 0.716
-1.344 -4.086 6.204
0.812 -4.233 4.791
0.780 -2.827 6.956
0.714 -5.465 7.129
-3.291 -0.912 0.544
```

DFT (GGA-PBE) results for CeCdGePd after structural relaxation.

Values from the calculation:
For the spin magnetization, the calculation gives 0.625 Bohr magnetons per cell. The calculated volume is 20.925 Å³ per atom. The final energy comes out at -0.3417 Ry per atom. The value obtained for the density of states at the Fermi level is 5.046 states/eV per cell. The formation energy comes out at -1.93 eV per formula unit.

Geometry as POSCAR:
```
CeCdGePd
1.0
4.910 0.000 0.000
2.455 4.252 0.000
2.455 1.417 4.009
Ge Pd Ce Cd
1 1 1 1
Cartesian
2.455 1.417 1.002
7.365 4.252 3.007
4.910 2.835 2.004
0.000 0.000 0.000
```

DFT (GGA-PBE) results for Ce2CdGe3Pd4 after structural relaxation.

Values from the calculation:
For the spin magnetization, the calculation gives 1.604 Bohr magnetons per cell. The calculated volume is 19.788 Å³ per atom. The final energy comes out at -0.3994 Ry per atom. The value obtained for the density of states at the Fermi level is 14.770 states/eV per cell. The formation energy comes out at -6.93 eV per formula unit.

Geometry as POSCAR:
```
Ce2CdGe3Pd4
1.0
-0.138 -3.460 2.470
3.700 -1.315 -1.635
5.383 5.388 7.850
Ce Cd Ge Pd
2 1 3 4
Cartesian
1.237 -0.423 3.139
5.927 3.423 5.128
4.473 0.307 4.342
2.692 2.694 3.925
4.637 2.980 8.097
2.527 0.020 0.170
1.781 -2.387 0.417
0.000 0.000 0.000
3.436 1.778 6.346
3.728 1.222 1.921
```

DFT (GGA-PBE) results for Ce2Cd2Ge4Pd after structural relaxation.

Values from the calculation:
For the spin magnetization, the calculation gives 1.668 Bohr magnetons per cell. The calculated volume is 21.573 Å³ per atom. The final energy comes out at -0.3369 Ry per atom. The value obtained for the density of states at the Fermi level is 10.485 states/eV per cell. The formation energy comes out at -3.90 eV per formula unit.

Geometry as POSCAR:
```
Ce2Cd2Ge4Pd
1.0
-3.739 -1.066 -5.156
1.744 -5.033 3.651
-2.517 3.138 5.052
Ce Cd Ge Pd
2 2 4 1
Cartesian
-1.191 -3.523 1.423
-3.321 0.562 2.123
-0.545 -1.335 6.131
-0.228 -0.560 2.572
0.595 -2.829 4.029
-2.287 -1.875 3.981
-1.368 0.934 4.674
-2.225 -1.086 -0.434
0.000 0.000 0.000
```